(1)
Computed, not measured: Rb3Ac2ZrS6 after structural relaxation at the PBE level of DFT.

Values from the calculation:
* symmetry: C2/m, No. 12
* electronic total energy: -64.5 eV/cell
* ΔE_f (raw): -1.675 eV per atom

Unit cell a=7.3545 b=7.3545 c=8.1164 alpha=98.75 beta=98.75 gamma=119.97
Last column: nearest neighbours and their distance in Å.
Sites, in units of the cell vectors:
Rb 0.1685 0.8315 0.5000  6 S 3.32-3.55
Rb 0.5000 0.5000 0.5000  6 S 3.31-3.57
Rb 0.8315 0.1685 0.5000  6 S 3.32-3.55
S 0.2347 0.2347 0.8028  1 Zr 2.69, 2 Ac 3.00
S 0.7653 0.7653 0.1972  1 Zr 2.69, 2 Ac 3.00
S 0.9338 0.6325 0.8026  1 Zr 2.69, 2 Ac 3.00
S 0.6325 0.9338 0.8026  1 Zr 2.69, 2 Ac 3.00
S 0.3675 0.0662 0.1974  1 Zr 2.69, 2 Ac 3.00
S 0.0662 0.3675 0.1974  1 Zr 2.69, 2 Ac 3.00
Ac 0.6666 0.3334 0.0000  6 S 3.00
Ac 0.3334 0.6666 0.0000  6 S 3.00
Zr 0.0000 0.0000 0.0000  6 S 2.69


(2)
Computed, not measured: Rb3Ac3ZrS8 after structural relaxation at the PBE level of DFT.

Values from the calculation:
* symmetry: R-3m, No. 166
* electronic total energy: -83.8 eV/cell
* ΔE_f (raw): -1.800 eV per atom

Unit cell a=8.6071 b=8.6083 c=9.2794 alpha=117.66 beta=90.00 gamma=120.00
Last column: nearest neighbours and their distance in Å.
Sites, in units of the cell vectors:
Rb 0.0000 0.0000 0.0000  6 S 3.39-3.41
Rb 0.0000 0.5000 0.0000  6 S 3.39-3.41
Rb 0.5000 0.5000 0.0000  6 S 3.39-3.41
S 0.7900 0.5800 0.3148  1 Zr 2.64
S 0.2346 0.0245 0.3147  1 Zr 2.64
S 0.2645 0.5290 0.2937  3 Ac 2.96
S 0.2100 0.4200 0.6852  1 Zr 2.64
S 0.7355 0.4710 0.7063  3 Ac 2.96
S 0.2100 0.9755 0.6853  1 Zr 2.64
S 0.7654 0.9755 0.6853  1 Zr 2.64
S 0.7900 0.0245 0.3147  1 Zr 2.64
Ac 0.5000 0.5000 0.5000  6 S 2.96-3.01
Ac 0.5000 0.0000 0.5000  6 S 2.96-3.01
Ac 0.0000 0.5000 0.5000  6 S 2.96-3.01
Zr 0.0000 0.0000 0.5000  6 S 2.64


(3)
Computed, not measured: Rb2AcZrS4 after structural relaxation at the PBE level of DFT.

Values from the calculation:
* symmetry: P2/m, No. 10
* electronic total energy: -43.8 eV/cell
* ΔE_f (raw): -1.585 eV per atom

Unit cell a=4.0983 b=7.2209 c=8.0823 alpha=106.64 beta=90.00 gamma=90.00
Last column: nearest neighbours and their distance in Å.
Sites, in units of the cell vectors:
S 0.5000 0.2038 0.1893  2 Zr 2.72, 1 Ac 2.97
S 0.5000 0.7962 0.8107  2 Zr 2.72, 1 Ac 2.97
S 0.0000 0.7669 0.2016  1 Zr 2.66, 2 Ac 2.96
S 0.0000 0.2331 0.7984  1 Zr 2.66, 2 Ac 2.96
Rb 0.0000 0.5000 0.5000  6 S 3.46-3.49
Rb 0.5000 0.0000 0.5000  6 S 3.24-3.25
Ac 0.5000 0.5000 0.0000  6 S 2.96-2.97
Zr 0.0000 0.0000 0.0000  6 S 2.66-2.72


(4)
Computed, not measured: Rb4Ac3ZrS8 after structural relaxation at the PBE level of DFT.

Values from the calculation:
* symmetry: R-3m, No. 166
* electronic total energy: -85.2 eV/cell
* ΔE_f (raw): -1.713 eV per atom

Unit cell a=8.6008 b=9.1990 c=8.6007 alpha=117.88 beta=120.00 gamma=90.00
Last column: nearest neighbours and their distance in Å.
Sites, in units of the cell vectors:
S 0.7373 0.7118 0.4746  3 Ac 2.98
S 0.2379 0.3055 0.0217  1 Zr 2.71, 2 Ac 3.01
S 0.2163 0.6945 0.9783  1 Zr 2.71, 2 Ac 3.01
S 0.2163 0.6946 0.4326  1 Zr 2.71, 2 Ac 3.01
S 0.7837 0.3055 0.0217  1 Zr 2.71, 2 Ac 3.01
S 0.7837 0.3054 0.5674  1 Zr 2.71, 2 Ac 3.01
S 0.2627 0.2882 0.5254  3 Ac 2.98
S 0.7621 0.6945 0.9783  1 Zr 2.71, 2 Ac 3.01
Rb 0.0000 0.0000 0.0000  6 S 3.34-3.35
Rb 0.5000 0.0000 0.5000  6 S 3.34-3.35
Rb 0.5000 0.0000 0.0000  6 S 3.60
Rb 0.0000 0.0000 0.5000  6 S 3.34-3.35
Ac 0.0000 0.5000 0.5000  6 S 2.98-3.01
Ac 0.5000 0.5000 0.0000  6 S 2.98-3.01
Ac 0.5000 0.5000 0.5000  6 S 2.98-3.01
Zr 0.0000 0.5000 0.0000  6 S 2.71


(5)
Computed, not measured: RbAcSb4 after structural relaxation at the PBE level of DFT.

Values from the calculation:
* symmetry: F-43m, No. 216
* electronic total energy: -23.5 eV/cell
* ΔE_f (raw): -0.330 eV per atom

Unit cell a=6.5146 b=6.5146 c=6.5146 alpha=60.00 beta=60.00 gamma=60.00
Last column: nearest neighbours and their distance in Å.
Sites, in units of the cell vectors:
Sb 0.6249 0.6249 0.1252  6 Sb 3.26
Sb 0.1252 0.6249 0.6249  6 Sb 3.26
Sb 0.6249 0.1252 0.6249  6 Sb 3.26
Sb 0.6249 0.6249 0.6249  6 Sb 3.26
Ac 0.2500 0.2500 0.2500  12 Sb 3.82, 4 Rb 3.99
Rb 0.0000 0.0000 0.0000  12 Sb 3.82, 4 Ac 3.99


(6)
Computed, not measured: Rb3AcSb2Se6 after structural relaxation at the PBE level of DFT.

Values from the calculation:
* symmetry: C2/m, No. 12
* electronic total energy: -48.7 eV/cell
* ΔE_f (raw): -1.045 eV per atom

Unit cell a=7.6077 b=7.6077 c=8.4268 alpha=98.68 beta=98.68 gamma=120.02
Last column: nearest neighbours and their distance in Å.
Sites, in units of the cell vectors:
Se 0.7167 0.7167 0.2000  2 Sb 2.95, 1 Ac 3.11
Se 0.4172 0.0669 0.2003  2 Sb 2.95, 1 Ac 3.11
Se 0.0669 0.4172 0.2003  2 Sb 2.95, 1 Ac 3.11
Se 0.9331 0.5828 0.7997  2 Sb 2.95, 1 Ac 3.11
Se 0.2833 0.2833 0.8000  2 Sb 2.95, 1 Ac 3.11
Se 0.5828 0.9331 0.7997  2 Sb 2.95, 1 Ac 3.11
Ac 0.0000 0.0000 0.0000  6 Se 3.11
Rb 0.5000 0.5000 0.5000  6 Se 3.41-3.54
Rb 0.8350 0.1650 0.5000  6 Se 3.42-3.55
Rb 0.1650 0.8350 0.5000  6 Se 3.42-3.55
Sb 0.6669 0.3331 0.0000  6 Se 2.95
Sb 0.3331 0.6669 0.0000  6 Se 2.95


Number 3 is which compound? Rb2AcZrS4


Look up the electronic total energy of the third one. -43.8 eV/cell


Which of these has the highest ΔE_f (raw)? RbAcSb4


Which of these has the lowest electronic total energy? Rb4Ac3ZrS8